Entry 1:
Dy8Ni2Ir: optimized geometry, GGA-PBE.

Cell and atoms, written as CIF:
```
data_Dy8Ni2Ir
_symmetry_space_group_name_H-M 'P 1'
_symmetry_Int_Tables_number 1
_symmetry_space_group_name_Hall 'P 1'
_cell_length_a 8.905
_cell_length_b 8.905
_cell_length_c 6.607
_cell_angle_alpha 104.36
_cell_angle_beta 104.36
_cell_angle_gamma 32.65
loop_
_atom_site_label
_atom_site_fract_x
_atom_site_fract_y
_atom_site_fract_z
Dy1 0.037 0.037 0.292
Dy2 0.202 0.202 0.830
Dy3 0.330 0.330 0.522
Dy4 0.410 0.410 0.056
Dy5 0.590 0.590 0.944
Dy6 0.670 0.670 0.478
Dy7 0.798 0.798 0.170
Dy8 0.963 0.963 0.708
Ni1 0.190 0.190 0.225
Ni2 0.810 0.810 0.775
Ir1 0.500 0.500 0.500
```

Output
Formation energy   -0.33 eV/atom
V   24.8 Å³/atom

***

Entry 2:
Dy2Ni4Ir3: optimized geometry, GGA-PBE.

Cell and atoms, written as CIF:
```
data_Dy2Ni4Ir3
_symmetry_space_group_name_H-M 'P 1'
_symmetry_Int_Tables_number 1
_symmetry_space_group_name_Hall 'P 1'
_cell_length_a 7.733
_cell_length_b 6.739
_cell_length_c 5.228
_cell_angle_alpha 79.41
_cell_angle_beta 58.94
_cell_angle_gamma 41.65
loop_
_atom_site_label
_atom_site_fract_x
_atom_site_fract_y
_atom_site_fract_z
Dy1 0.138 0.138 0.862
Dy2 0.862 0.862 0.138
Ni1 0.148 0.514 0.486
Ni2 0.486 0.852 0.148
Ni3 0.514 0.148 0.852
Ni4 0.852 0.486 0.514
Ir1 0.000 0.000 0.500
Ir2 0.500 0.500 0.000
Ir3 0.500 0.500 0.500
```

Output
Formation energy   -0.40 eV/atom
V   16.1 Å³/atom

***

Entry 3:
DyNiIr: optimized geometry, GGA-PBE.

Cell and atoms, written as CIF:
```
data_DyNiIr
_symmetry_space_group_name_H-M 'P 1'
_symmetry_Int_Tables_number 1
_symmetry_space_group_name_Hall 'P 1'
_cell_length_a 6.394
_cell_length_b 5.248
_cell_length_c 5.070
_cell_angle_alpha 76.56
_cell_angle_beta 52.97
_cell_angle_gamma 50.47
loop_
_atom_site_label
_atom_site_fract_x
_atom_site_fract_y
_atom_site_fract_z
Dy1 0.152 0.152 0.848
Dy2 0.848 0.848 0.152
Ni1 0.250 0.250 0.250
Ni2 0.750 0.750 0.750
Ir1 0.307 0.693 0.307
Ir2 0.693 0.307 0.693
```

Output
Formation energy   -0.19 eV/atom
V   16.9 Å³/atom